Here is crystalline HfInSi at its relaxed geometry from Alexandria via LeMat-Bulk. Energies are from PBE.

Cell: 9.554 3.823 6.865 Å, 90.00 98.62 90.00°
Space group C2/m (No. 12)
Unique sites:
Hf 0.154 0.000 0.127 (multiplicity 4)
In 0.146 0.000 0.600 (multiplicity 4)
Si 0.054 0.500 0.850 (multiplicity 4)

* E_form (uncorrected): -0.267 eV/atom
* energy: -6.305 eV per atom
* ΔE to the lowest computed polymorph: 32 meV/atom